## La2ReSe (meta-GGA SCAN)

Data for a crystal of La2ReSe relaxed with PBEsol.

The structure in extended XYZ format:
```
4
Lattice="3.880 0.000 0.000 -1.940 3.379 -0.032 0.000 -2.133 8.087" Properties=species:S:1:pos:R:3 pbc="T T T"
Re 1.940 0.000 0.000
La 1.940 0.082 6.087
La 0.000 1.164 1.968
Se 0.000 -1.066 4.043
```

## Properties
**Energy**: -179.39 eV/cell
**Energy relative to the elements, uncorrected**: -0.500 eV/atom
**Space group**: C2/m, No. 12
**Total magnetization**: 0.0 μB/f.u.